Model A:
First-principles (GGA-PBE) data for a relaxed CaAgIr2 crystal, as listed in Alexandria via LeMat-Bulk.

a = 4.002 Å, b = 4.002 Å, c = 4.357 Å
α = 90.00°, β = 90.00°, γ = 90.00°
Fractional coordinates of all 4 atoms:
Ca: 0.000 0.000 0.000
Ag: 0.500 0.500 0.000
Ir: 0.000 0.500 0.500
Ir: 0.500 0.000 0.500

Computed properties:
D(E_F), states/eV/cell: 5.14

---

Model B:
First-principles (GGA-PBE) data for a relaxed CaAgIr2 crystal, as listed in Alexandria via LeMat-Bulk.

a = 2.819 Å, b = 2.819 Å, c = 9.452 Å
α = 90.00°, β = 90.00°, γ = 113.88°
Fractional coordinates of all 4 atoms:
Ca: 0.000 0.000 0.000
Ag: 0.000 0.000 0.500
Ir: 0.500 0.500 0.249
Ir: 0.500 0.500 0.751

Computed properties:
D(E_F), states/eV/cell: 3.29

---

Model C:
First-principles (GGA-PBE) data for a relaxed CaAgIr2 crystal, as listed in Alexandria via LeMat-Bulk.

a = 5.066 Å, b = 5.066 Å, c = 5.122 Å
α = 101.96°, β = 101.96°, γ = 33.55°
Fractional coordinates of all 4 atoms:
Ca: 0.000 0.000 0.000
Ag: 0.236 0.236 0.782
Ir: 0.496 0.496 0.470
Ir: 0.764 0.764 0.332

Computed properties:
D(E_F), states/eV/cell: 4.14

---

Bottom line: model C, by a margin of 44 meV/atom.

---

Model A:
First-principles (GGA-PBE) data for a relaxed CaAgIr2 crystal, as listed in Alexandria via LeMat-Bulk.

a = 2.843 Å, b = 4.802 Å, c = 5.232 Å
α = 90.00°, β = 99.58°, γ = 90.00°
Fractional coordinates of all 4 atoms:
Ca: 0.000 0.000 0.000
Ag: 0.500 0.000 0.500
Ir: 0.324 0.500 0.726
Ir: 0.676 0.500 0.274

Computed properties:
D(E_F), states/eV/cell: 3.67

---

Model B:
First-principles (GGA-PBE) data for a relaxed CaAgIr2 crystal, as listed in Alexandria via LeMat-Bulk.

a = 2.934 Å, b = 4.678 Å, c = 5.018 Å
α = 90.00°, β = 90.00°, γ = 90.00°
Fractional coordinates of all 4 atoms:
Ca: 0.000 0.000 0.000
Ag: 0.500 0.500 0.143
Ir: 0.000 0.500 0.615
Ir: 0.500 0.000 0.512

Computed properties:
D(E_F), states/eV/cell: 2.63

---

Model C:
First-principles (GGA-PBE) data for a relaxed CaAgIr2 crystal, as listed in Alexandria via LeMat-Bulk.

a = 4.904 Å, b = 4.904 Å, c = 4.904 Å
α = 128.38°, β = 128.38°, γ = 76.01°
Fractional coordinates of all 4 atoms:
Ca: 0.000 0.000 0.000
Ag: 0.750 0.250 0.500
Ir: 0.250 0.750 0.500
Ir: 0.500 0.500 0.000

Computed properties:
D(E_F), states/eV/cell: 5.94

---

Model D:
First-principles (GGA-PBE) data for a relaxed CaAgIr2 crystal, as listed in Alexandria via LeMat-Bulk.

a = 3.359 Å, b = 3.359 Å, c = 6.498 Å
α = 90.00°, β = 90.00°, γ = 90.00°
Fractional coordinates of all 4 atoms:
Ca: 0.000 0.000 0.000
Ag: 0.000 0.000 0.500
Ir: 0.500 0.500 0.286
Ir: 0.500 0.500 0.714

Computed properties:
D(E_F), states/eV/cell: 8.22

---

Bottom line: model B, by a margin of 67 meV/atom.